Here is crystalline FeHg2Cl6 at its relaxed geometry from Alexandria via LeMat-Bulk. Energies are from GGA-PBE.

Lattice parameters (Å, degrees): 6.823 10.279 10.279 88.07 70.87 70.87
Site moments in Bohr magnetons follow the coordinates.
Atoms (fractional coordinates):
Fe1 0.250 0.219 0.781  3.44
Fe2 0.750 0.781 0.219  3.44
Hg1 0.053 0.646 0.814  -0.02
Hg2 0.447 0.186 0.354  -0.02
Hg3 0.947 0.354 0.186  -0.02
Hg4 0.553 0.814 0.646  -0.02
Cl1 0.214 0.790 0.619  -0.01
Cl2 0.286 0.381 0.210  -0.01
Cl3 0.786 0.210 0.381  -0.01
Cl4 0.714 0.619 0.790  -0.01
Cl5 0.853 0.790 0.406  0.09
Cl6 0.647 0.594 0.210  0.09
Cl7 0.147 0.210 0.594  0.09
Cl8 0.353 0.406 0.790  0.09
Cl9 0.046 0.771 0.030  0.08
Cl10 0.454 0.970 0.229  0.08
Cl11 0.954 0.229 0.970  0.08
Cl12 0.546 0.030 0.771  0.08

Summary:
VASP energy	-2.846	eV per atom
space-group type	C2/c, No. 15
E_form (uncorrected)	-0.61	eV/atom
calculated volume	35.6	Å³ per atom